Arrangement 1

VASP calculation (PBE) on an optimized crystal structure of LaHfMo2.

It has space group Fm-3m (No. 225), with a = 6.873 Å, b = 6.873 Å, c = 6.873 Å, α = 90.00°, β = 90.00° and γ = 90.00°. Symmetry generates all atoms from La at (0.000, 0.000, 0.000), Hf at (0.000, 0.000, 0.500) and Mo at (0.250, 0.250, 0.250).

For the volume, the calculation gives 20.294 A^3/atom. The calculation puts the density of states at the Fermi level at 20.8 states/eV per cell. The calculation puts the total magnetization at 0.0 μB per cell.

Arrangement 2

VASP calculation (PBE) on an optimized crystal structure of LaHfMo2.

It has space group I-42d (No. 122), with a = 7.670 Å, b = 7.670 Å, c = 5.881 Å, α = 90.00°, β = 90.00° and γ = 90.00°. Symmetry generates all atoms from La at (0.000, 0.000, 0.000), Hf at (0.000, 0.000, 0.500) and Mo at (0.235, 0.250, 0.625).

For the volume, the calculation gives 21.623 A^3/atom. The calculation puts the density of states at the Fermi level at 23.8 states/eV per cell. The calculation puts the total magnetization at 0.0 μB per cell.

Result of the stability comparison: arrangement 1 is the most stable of them.

Arrangement 1

VASP calculation (PBE) on an optimized crystal structure of LaHf2N2.

It has space group I4/mmm (No. 139), with a = 4.201 Å, b = 4.201 Å, c = 9.259 Å, α = 90.00°, β = 90.00° and γ = 90.00°. Symmetry generates all atoms from La at (0.000, 0.000, 0.000), Hf at (0.000, 0.000, 0.332) and N at (0.000, 0.500, 0.250).

For the volume, the calculation gives 16.338 A^3/atom. The calculation puts the density of states at the Fermi level at 7.6 states/eV per cell. The calculation puts the total magnetization at 0.0 μB per cell.

Arrangement 2

VASP calculation (PBE) on an optimized crystal structure of LaHf2N2.

It has space group P4/mbm (No. 127), with a = 7.171 Å, b = 7.171 Å, c = 2.901 Å, α = 90.00°, β = 90.00° and γ = 90.00°. Symmetry generates all atoms from La at (0.000, 0.000, 0.000), Hf at (0.138, 0.362, 0.000) and N at (0.137, 0.637, 0.500).

For the volume, the calculation gives 14.920 A^3/atom. The calculation puts the density of states at the Fermi level at 6.5 states/eV per cell. The calculation puts the total magnetization at 0.0 μB per cell.

Result of the stability comparison: arrangement 1 is the most stable of them.

Arrangement 1

VASP calculation (PBE) on an optimized crystal structure of La3HfN.

It has space group Pm-3m (No. 221), with a = 5.561 Å, b = 5.561 Å, c = 5.561 Å, α = 90.00°, β = 90.00° and γ = 90.00°. Symmetry generates all atoms from La at (0.000, 0.000, 0.500), Hf at (0.000, 0.000, 0.000) and N at (0.500, 0.500, 0.500).

For the volume, the calculation gives 34.396 A^3/atom. The calculation puts the density of states at the Fermi level at 5.1 states/eV per cell. The calculation puts the total magnetization at 0.0 μB per cell.

Arrangement 2

VASP calculation (PBE) on an optimized crystal structure of La3HfN.

It has space group Pm-3m (No. 221), with a = 5.115 Å, b = 5.115 Å, c = 5.115 Å, α = 90.00°, β = 90.00° and γ = 90.00°. Symmetry generates all atoms from La at (0.000, 0.000, 0.500), Hf at (0.500, 0.500, 0.500) and N at (0.000, 0.000, 0.000).

For the volume, the calculation gives 26.763 A^3/atom. The calculation puts the density of states at the Fermi level at 4.7 states/eV per cell. The calculation puts the total magnetization at 0.0 μB per cell.

Result of the stability comparison: arrangement 2 is the most stable of them.

Arrangement 1

VASP calculation (PBE) on an optimized crystal structure of LaHfTeN2.

It has space group P4/mmm (No. 123), with a = 4.284 Å, b = 4.284 Å, c = 6.287 Å, α = 90.00°, β = 90.00° and γ = 90.00°. Symmetry generates all atoms from La at (0.000, 0.000, 0.000), Hf at (0.500, 0.500, 0.500), Te at (0.000, 0.000, 0.500) and N at (0.000, 0.500, 0.000).

For the volume, the calculation gives 23.075 A^3/atom. The calculation puts the density of states at the Fermi level at 2.7 states/eV per cell. The calculation puts the total magnetization at 0.0 μB per cell.

Arrangement 2

VASP calculation (PBE) on an optimized crystal structure of LaHfTeN2.

It has space group P4/mmm (No. 123), with a = 4.345 Å, b = 4.345 Å, c = 5.625 Å, α = 90.00°, β = 90.00° and γ = 90.00°. Symmetry generates all atoms from La at (0.000, 0.000, 0.000), Hf at (0.500, 0.500, 0.500), Te at (0.500, 0.500, 0.000) and N at (0.000, 0.500, 0.500).

For the volume, the calculation gives 21.244 A^3/atom. The calculation puts the density of states at the Fermi level at 1.8 states/eV per cell. The calculation puts the total magnetization at 0.9 μB per cell.

Result of the stability comparison: arrangement 2 is the most stable of them.

Arrangement 1

VASP calculation (PBE) on an optimized crystal structure of Na2LaHf.

It has space group I-42d (No. 122), with a = 8.960 Å, b = 8.960 Å, c = 6.030 Å, α = 90.00°, β = 90.00° and γ = 90.00°. Symmetry generates all atoms from Na at (0.237, 0.250, 0.125), La at (0.000, 0.000, 0.500) and Hf at (0.000, 0.000, 0.000).

For the volume, the calculation gives 30.259 A^3/atom. The calculation puts the density of states at the Fermi level at 14.6 states/eV per cell. The calculation puts the total magnetization at 0.0 μB per cell.

Arrangement 2

VASP calculation (PBE) on an optimized crystal structure of Na2LaHf.

It has space group Fm-3m (No. 225), with a = 7.783 Å, b = 7.783 Å, c = 7.783 Å, α = 90.00°, β = 90.00° and γ = 90.00°. Symmetry generates all atoms from Na at (0.250, 0.250, 0.250), La at (0.000, 0.000, 0.000) and Hf at (0.000, 0.000, 0.500).

For the volume, the calculation gives 29.462 A^3/atom. The calculation puts the density of states at the Fermi level at 24.4 states/eV per cell. The calculation puts the total magnetization at 6.0 μB per cell.

Result of the stability comparison: arrangement 2 is the most stable of them.

Arrangement 1

VASP calculation (PBE) on an optimized crystal structure of NaLa3Hf.

It has space group Pm-3m (No. 221), with a = 5.629 Å, b = 5.629 Å, c = 5.629 Å, α = 90.00°, β = 90.00° and γ = 90.00°. Symmetry generates all atoms from Na at (0.000, 0.000, 0.000), La at (0.000, 0.000, 0.500) and Hf at (0.500, 0.500, 0.500).

For the volume, the calculation gives 35.675 A^3/atom. The calculation puts the density of states at the Fermi level at 10.8 states/eV per cell. The calculation puts the total magnetization at 0.0 μB per cell.

Arrangement 2

VASP calculation (PBE) on an optimized crystal structure of NaLa3Hf.

It has space group Pm-3m (No. 221), with a = 5.922 Å, b = 5.922 Å, c = 5.922 Å, α = 90.00°, β = 90.00° and γ = 90.00°. Symmetry generates all atoms from Na at (0.000, 0.000, 0.000), La at (0.000, 0.500, 0.500) and Hf at (0.500, 0.500, 0.500).

For the volume, the calculation gives 41.530 A^3/atom. The calculation puts the density of states at the Fermi level at 5.3 states/eV per cell. The calculation puts the total magnetization at 0.0 μB per cell.

Result of the stability comparison: arrangement 2 is the most stable of them.

Arrangement 1

VASP calculation (PBE) on an optimized crystal structure of La2HfNb.

It has space group Fm-3m (No. 225), with a = 7.546 Å, b = 7.546 Å, c = 7.546 Å, α = 90.00°, β = 90.00° and γ = 90.00°. Symmetry generates all atoms from La at (0.250, 0.250, 0.250), Hf at (0.000, 0.000, 0.000) and Nb at (0.000, 0.000, 0.500).

For the volume, the calculation gives 26.850 A^3/atom. The calculation puts the density of states at the Fermi level at 25.4 states/eV per cell. The calculation puts the total magnetization at 3.5 μB per cell.

Arrangement 2

VASP calculation (PBE) on an optimized crystal structure of La2HfNb.

It has space group I-42d (No. 122), with a = 8.508 Å, b = 8.508 Å, c = 6.092 Å, α = 90.00°, β = 90.00° and γ = 90.00°. Symmetry generates all atoms from La at (0.227, 0.250, 0.125), Hf at (0.000, 0.000, 0.500) and Nb at (0.000, 0.000, 0.000).

For the volume, the calculation gives 27.559 A^3/atom. The calculation puts the density of states at the Fermi level at 29.4 states/eV per cell. The calculation puts the total magnetization at 3.4 μB per cell.

Result of the stability comparison: arrangement 1 is the most stable of them.

Arrangement 1

VASP calculation (PBE) on an optimized crystal structure of La3HfNb.

It has space group Pm-3m (No. 221), with a = 5.532 Å, b = 5.532 Å, c = 5.532 Å, α = 90.00°, β = 90.00° and γ = 90.00°. Symmetry generates all atoms from La at (0.000, 0.000, 0.500), Hf at (0.500, 0.500, 0.500) and Nb at (0.000, 0.000, 0.000).

For the volume, the calculation gives 33.856 A^3/atom. The calculation puts the density of states at the Fermi level at 7.5 states/eV per cell. The calculation puts the total magnetization at 0.0 μB per cell.

Arrangement 2

VASP calculation (PBE) on an optimized crystal structure of La3HfNb.

It has space group Pm-3m (No. 221), with a = 5.616 Å, b = 5.616 Å, c = 5.616 Å, α = 90.00°, β = 90.00° and γ = 90.00°. Symmetry generates all atoms from La at (0.000, 0.000, 0.500), Hf at (0.000, 0.000, 0.000) and Nb at (0.500, 0.500, 0.500).

For the volume, the calculation gives 35.425 A^3/atom. The calculation puts the density of states at the Fermi level at 14.6 states/eV per cell. The calculation puts the total magnetization at 0.0 μB per cell.

Result of the stability comparison: arrangement 1 is the most stable of them.

Arrangement 1

VASP calculation (PBE) on an optimized crystal structure of LaHfNb2.

It has space group Fm-3m (No. 225), with a = 7.067 Å, b = 7.067 Å, c = 7.067 Å, α = 90.00°, β = 90.00° and γ = 90.00°. Symmetry generates all atoms from La at (0.000, 0.000, 0.000), Hf at (0.000, 0.000, 0.500) and Nb at (0.250, 0.250, 0.250).

For the volume, the calculation gives 22.054 A^3/atom. The calculation puts the density of states at the Fermi level at 36.0 states/eV per cell. The calculation puts the total magnetization at 0.0 μB per cell.

Arrangement 2

VASP calculation (PBE) on an optimized crystal structure of LaHfNb2.

It has space group I-42d (No. 122), with a = 7.869 Å, b = 7.869 Å, c = 6.013 Å, α = 90.00°, β = 90.00° and γ = 90.00°. Symmetry generates all atoms from La at (0.000, 0.000, 0.000), Hf at (0.000, 0.000, 0.500) and Nb at (0.238, 0.250, 0.625).

For the volume, the calculation gives 23.271 A^3/atom. The calculation puts the density of states at the Fermi level at 25.0 states/eV per cell. The calculation puts the total magnetization at 0.0 μB per cell.

Result of the stability comparison: arrangement 1 is the most stable of them.

Arrangement 1

VASP calculation (PBE) on an optimized crystal structure of La2NdHf.

It has space group P4/mmm (No. 123), with a = 4.101 Å, b = 4.101 Å, c = 7.587 Å, α = 90.00°, β = 90.00° and γ = 90.00°. Symmetry generates all atoms from La at (0.000, 0.000, 0.219), Nd at (0.500, 0.500, 0.500) and Hf at (0.500, 0.500, 0.000).

For the volume, the calculation gives 31.894 A^3/atom. The calculation puts the density of states at the Fermi level at 4.6 states/eV per cell. The calculation puts the total magnetization at 0.0 μB per cell.

Arrangement 2

VASP calculation (PBE) on an optimized crystal structure of La2NdHf.

It has space group R-3m (No. 166, hexagonal axes), with a = 3.3920 Å, b = 3.3920 Å, c = 37.7168 Å, α = 90.00°, β = 90.00° and γ = 120.00°. Symmetry generates all atoms from La at (0.0000, 0.0000, 0.0810), Nd at (0.0000, 0.0000, 0.5000) and Hf at (0.0000, 0.0000, 0.0000).

For the volume, the calculation gives 31.318 A^3/atom. The calculation puts the density of states at the Fermi level at 18.4 states/eV per cell. The calculation puts the total magnetization at 0.0 μB per cell.

Arrangement 3

VASP calculation (PBE) on an optimized crystal structure of La2NdHf.

It has space group P4/mmm (No. 123), with a = 5.044 Å, b = 5.044 Å, c = 4.966 Å, α = 90.00°, β = 90.00° and γ = 90.00°. Symmetry generates all atoms from La at (0.000, 0.500, 0.000), Nd at (0.000, 0.000, 0.500) and Hf at (0.500, 0.500, 0.500).

For the volume, the calculation gives 31.578 A^3/atom. The calculation puts the density of states at the Fermi level at 4.5 states/eV per cell. The calculation puts the total magnetization at 0.0 μB per cell.

Result of the stability comparison: arrangement 3 is the most stable of them.

Arrangement 1

VASP calculation (PBE) on an optimized crystal structure of LaHf3Ni.

It has space group Pm-3m (No. 221), with a = 5.083 Å, b = 5.083 Å, c = 5.083 Å, α = 90.00°, β = 90.00° and γ = 90.00°. Symmetry generates all atoms from La at (0.000, 0.000, 0.000), Hf at (0.000, 0.000, 0.500) and Ni at (0.500, 0.500, 0.500).

For the volume, the calculation gives 26.272 A^3/atom. The calculation puts the density of states at the Fermi level at 13.4 states/eV per cell. The calculation puts the total magnetization at 0.0 μB per cell.

Arrangement 2

VASP calculation (PBE) on an optimized crystal structure of LaHf3Ni.

It has space group Pm-3m (No. 221), with a = 4.947 Å, b = 4.947 Å, c = 4.947 Å, α = 90.00°, β = 90.00° and γ = 90.00°. Symmetry generates all atoms from La at (0.000, 0.000, 0.000), Hf at (0.000, 0.500, 0.500) and Ni at (0.500, 0.500, 0.500).

For the volume, the calculation gives 24.208 A^3/atom. The calculation puts the density of states at the Fermi level at 5.7 states/eV per cell. The calculation puts the total magnetization at 0.0 μB per cell.

Result of the stability comparison: arrangement 2 is the most stable of them.

Arrangement 1

VASP calculation (PBE) on an optimized crystal structure of La2HfO5.

It has space group Cmcm (No. 63), with a = 4.214 Å, b = 12.027 Å, c = 11.183 Å, α = 90.00°, β = 90.00° and γ = 90.00°. Symmetry generates all atoms from La at (0.000, 0.139, 0.071), Hf at (0.000, 0.170, 0.750), O at (0.000, 0.050, 0.620), O at (0.000, 0.281, 0.596) and O at (0.000, 0.283, 0.250).

For the volume, the calculation gives 17.710 A^3/atom. The calculation puts the density of states at the Fermi level at 0.0 states/eV per cell. The calculation puts the total magnetization at 0.0 μB per cell.

Arrangement 2

VASP calculation (PBE) on an optimized crystal structure of La2HfO5.

It has space group Pnma (No. 62), with a = 7.789 Å, b = 3.904 Å, c = 16.513 Å, α = 90.00°, β = 90.00° and γ = 90.00°. Symmetry generates all atoms from La at (0.118, 0.250, 0.082), La at (0.136, 0.250, 0.744), Hf at (0.121, 0.250, 0.429), O at (0.089, 0.750, 0.651), O at (0.091, 0.750, 0.466), O at (0.105, 0.750, 0.173), O at (0.151, 0.750, 0.997) and O at (0.219, 0.750, 0.831).

For the volume, the calculation gives 15.690 A^3/atom. The calculation puts the density of states at the Fermi level at 0.0 states/eV per cell. The calculation puts the total magnetization at 0.0 μB per cell.

Result of the stability comparison: arrangement 2 is the most stable of them.